[1]
VASP calculation (PBE) on a relaxed CaHO2F crystal.

a = 4.7840 Å, b = 4.7840 Å, c = 4.3596 Å
α = 90.00°, β = 90.00°, γ = 90.00°
With the nearest neighbours (Å) after each atom.
Fractional positions:
Ca 0.0000 0.0000 0.0000  2 F 2.18, 4 O 2.39
H 0.5000 0.5000 0.5000  8 O 3.24, 4 F 3.38
O 0.0000 0.5000 0.0000  2 Ca 2.39
O 0.5000 0.0000 0.0000  2 Ca 2.39
F 0.0000 0.0000 0.5000  2 Ca 2.18

Values from the calculation:
- Calculated volume: 99.8 Å³ per cell
- Uncorrected energy: -3.928 eV/atom
- Crystal system: tetragonal

[2]
VASP calculation (PBE) on a relaxed CaFeCo2 crystal.

a = 4.9961 Å, b = 4.9961 Å, c = 4.9961 Å
α = 135.82°, β = 135.82°, γ = 64.26°
With the nearest neighbours (Å) after each atom.
Fractional positions:
Ca 0.0000 0.0000 0.0000  8 Co 2.66-2.83, 4 Fe 2.83
Fe 0.7500 0.2500 0.5000  8 Co 2.66-2.83, 4 Ca 2.83
Co 0.2500 0.7500 0.5000  4 Fe 2.66, 4 Co 2.83, 4 Ca 2.83
Co 0.5000 0.5000 0.0000  4 Ca 2.66, 4 Fe 2.83, 4 Co 2.83

Values from the calculation:
- Calculated volume: 59.7 Å³ per cell
- Excess energy over the best structure of this formula in the dataset: 0.401 eV/atom
- Crystal system: tetragonal
- DFT formation energy: 0.553 eV per atom

[3]
VASP calculation (PBE) on a relaxed Ag2RhNO crystal.

a = 4.3464 Å, b = 4.3464 Å, c = 3.8928 Å
α = 90.00°, β = 90.00°, γ = 90.00°
With the nearest neighbours (Å) after each atom.
Fractional positions:
Ag 0.0000 0.5000 0.0000  2 O 2.17
Ag 0.5000 0.0000 0.0000  2 O 2.17
Rh 0.0000 0.0000 0.5000  8 Ag 2.92, 4 N 3.07
N 0.5000 0.5000 0.5000  2 O 1.95
O 0.5000 0.5000 0.0000  2 N 1.95, 4 Ag 2.17

Values from the calculation:
- Calculated volume: 73.5 Å³ per cell
- Crystal system: tetragonal
- Uncorrected formation energy: 688.2 kJ/mol of formula units

Copy entry 2 word for word.
VASP calculation (PBE) on a relaxed CaFeCo2 crystal.

a = 4.9961 Å, b = 4.9961 Å, c = 4.9961 Å
α = 135.82°, β = 135.82°, γ = 64.26°
With the nearest neighbours (Å) after each atom.
Fractional positions:
Ca 0.0000 0.0000 0.0000  8 Co 2.66-2.83, 4 Fe 2.83
Fe 0.7500 0.2500 0.5000  8 Co 2.66-2.83, 4 Ca 2.83
Co 0.2500 0.7500 0.5000  4 Fe 2.66, 4 Co 2.83, 4 Ca 2.83
Co 0.5000 0.5000 0.0000  4 Ca 2.66, 4 Fe 2.83, 4 Co 2.83

Values from the calculation:
- Calculated volume: 59.7 Å³ per cell
- Excess energy over the best structure of this formula in the dataset: 0.401 eV/atom
- Crystal system: tetragonal
- DFT formation energy: 0.553 eV per atom

- What is the calculated volume in the first record?
  99.8 Å³ per cell